Record 1
A plane-wave DFT calculation with PBE was carried out for crystalline Li2CdNiPt at its relaxed geometry.

abc: 4.3611 4.6793 4.3611
angles: 90.00 90.00 90.00
Closest atoms and distances in Å follow each position.
Positions (direct):
Cd 0.5000 0.5000 0.5000  4 Pt 3.08, 8 Li 3.20
Pt 0.0000 0.5000 0.0000  2 Ni 2.34
Ni 0.0000 0.0000 0.0000  4 Li 2.18, 2 Pt 2.34
Li 0.5000 0.0000 0.0000  2 Ni 2.18
Li 0.0000 0.0000 0.5000  2 Ni 2.18

Computed properties:
ΔH_f (0 K) ... 0.13 eV/atom
Volume ... 88.99 Å³ per cell
Crystal system ... tetragonal
Space group ... P4/mmm
Excess energy over the best structure of this formula in the dataset ... 0.00 kcal/mol of atoms

***

Record 2
A plane-wave DFT calculation with PBE was carried out for crystalline Li2CdNiPt at its relaxed geometry.

abc: 4.6247 4.7229 4.6247
angles: 90.00 90.00 90.00
Closest atoms and distances in Å follow each position.
Positions (direct):
Li 0.5000 0.0000 0.0000  2 Pt 2.31
Li 0.0000 0.0000 0.5000  2 Pt 2.31
Pt 0.0000 0.0000 0.0000  4 Li 2.31, 2 Ni 2.36
Cd 0.5000 0.5000 0.5000  4 Ni 3.27, 8 Li 3.31
Ni 0.0000 0.5000 0.0000  2 Pt 2.36

Computed properties:
ΔH_f (0 K) ... 0.17 eV/atom
Volume ... 101.01 Å³ per cell
Crystal system ... tetragonal
Space group ... P4/mmm
Excess energy over the best structure of this formula in the dataset ... 1.00 kcal/mol of atoms

***

Record 3
A plane-wave DFT calculation with PBE was carried out for crystalline RbLiCd2Ni at its relaxed geometry.

abc: 5.1680 5.1680 5.0531
angles: 90.00 90.00 90.00
Closest atoms and distances in Å follow each position.
Positions (direct):
Li 0.0000 0.0000 0.5000  2 Ni 2.53
Ni 0.0000 0.0000 0.0000  2 Li 2.53, 4 Cd 2.58
Cd 0.5000 0.0000 0.0000  2 Ni 2.58
Cd 0.0000 0.5000 0.0000  2 Ni 2.58
Rb 0.5000 0.5000 0.5000  8 Cd 3.61, 4 Li 3.65

Computed properties:
ΔH_f (0 K) ... 0.07 eV/atom
Volume ... 134.96 Å³ per cell
Crystal system ... tetragonal
Space group ... P4/mmm

***

Record 4
A plane-wave DFT calculation with PBE was carried out for crystalline Li2CdNiRh at its relaxed geometry.

abc: 4.5170 4.6245 4.5170
angles: 90.00 90.00 90.00
Closest atoms and distances in Å follow each position.
Positions (direct):
Li 0.5000 0.0000 0.0000  2 Rh 2.26
Li 0.0000 0.0000 0.5000  2 Rh 2.26
Rh 0.0000 0.0000 0.0000  4 Li 2.26, 2 Ni 2.31
Ni 0.0000 0.5000 0.0000  2 Rh 2.31
Cd 0.5000 0.5000 0.5000  4 Ni 3.19, 8 Li 3.23

Computed properties:
ΔH_f (0 K) ... 0.42 eV/atom
Volume ... 94.36 Å³ per cell
Crystal system ... tetragonal
Space group ... P4/mmm

***

Record 5
A plane-wave DFT calculation with PBE was carried out for crystalline LiCdNiSb at its relaxed geometry.

abc: 4.5754 4.5754 4.5754
angles: 60.00 60.00 60.00
Closest atoms and distances in Å follow each position.
Positions (direct):
Cd 0.7500 0.7500 0.7500  4 Ni 2.80, 4 Li 2.80
Sb 0.2500 0.2500 0.2500  4 Ni 2.80, 4 Li 2.80
Li 0.5000 0.5000 0.5000  4 Sb 2.80, 4 Cd 2.80
Ni 0.0000 0.0000 0.0000  4 Cd 2.80, 4 Sb 2.80

Computed properties:
Volume ... 67.73 Å³ per cell
Crystal system ... cubic
Space group ... F-43m
Raw formation energy ... -0.1902 eV per atom

***

Record 6
A plane-wave DFT calculation with PBE was carried out for crystalline LiScCdNi at its relaxed geometry.

abc: 4.5307 4.5307 4.5307
angles: 60.00 60.00 60.00
Closest atoms and distances in Å follow each position.
Positions (direct):
Ni 0.5000 0.5000 0.5000  4 Cd 2.77, 4 Sc 2.77
Li 0.0000 0.0000 0.0000  4 Sc 2.77, 4 Cd 2.77
Sc 0.7500 0.7500 0.7500  4 Ni 2.77, 4 Li 2.77
Cd 0.2500 0.2500 0.2500  4 Li 2.77, 4 Ni 2.77

Computed properties:
ΔH_f (0 K) ... -0.22 eV/atom
Volume ... 65.76 Å³ per cell
Crystal system ... cubic
Space group ... F-43m

***

Question: Number 5 is which compound?
Answer: LiCdNiSb

***

Question: Which formula does entry 6 have?
Answer: LiScCdNi